Record 1
8
Lattice="3.8040 0.0000 0.0000 0.0000 4.0157 0.0000 0.0000 0.0000 9.7469" Properties=species:S:1:pos:R:3 comment="GGA-PBE SrZnW2, optimized geometry" m_tot_mub_per_fu=0.00 dos_at_fermi_per_ev_atom=0.4742 delta_e_f_ev_per_fu=3.5 energy_ev_per_atom=-6.344 pbc="T T T"
Sr 0.0000 0.0000 0.0000
Sr 1.9020 2.0078 0.0000
Zn 0.0000 0.0000 4.8735
Zn 1.9020 2.0078 4.8735
W 0.0000 2.0078 2.8134
W 0.0000 2.0078 6.9335
W 1.9020 0.0000 2.8134
W 1.9020 0.0000 6.9335

Record 2
16
Lattice="4.7457 0.0000 0.0000 0.0000 4.7457 0.0000 0.0000 0.0000 19.1820" Properties=species:S:1:pos:R:3 comment="GGA-PBE SrZnW2, optimized geometry" m_tot_mub_per_fu=0.00 dos_at_fermi_per_ev_atom=1.0976 delta_e_f_ev_per_fu=5.1 energy_ev_per_atom=-5.946 pbc="T T T"
Sr 0.0000 0.0000 0.0000
Sr 0.0000 2.3729 4.7955
Sr 2.3729 0.0000 14.3865
Sr 2.3729 2.3729 9.5910
Zn 0.0000 0.0000 9.5910
Zn 0.0000 2.3729 14.3865
Zn 2.3729 0.0000 4.7955
Zn 2.3729 2.3729 0.0000
W 0.0970 3.5593 11.9888
W 1.1864 0.0970 7.1933
W 1.1864 2.2758 16.7843
W 2.2758 3.5593 2.3978
W 2.4699 1.1864 2.3978
W 3.5593 2.4699 16.7843
W 3.5593 4.6487 7.1933
W 4.6487 1.1864 11.9888

Record 3
5
Lattice="4.8157 0.0000 0.0000 0.0000 4.8157 0.0000 0.0000 0.0000 4.8157" Properties=species:S:1:pos:R:3 comment="GGA-PBE SrZnW3, optimized geometry" m_tot_mub_per_fu=0.00 dos_at_fermi_per_ev_atom=0.9264 delta_e_f_ev_per_fu=18.2 energy_ev_per_atom=-4.722 pbc="T T T"
Sr 0.0000 0.0000 0.0000
Zn 2.4079 2.4079 2.4079
W 0.0000 0.0000 2.4079
W 0.0000 2.4079 0.0000
W 2.4079 0.0000 0.0000

Record 4
4
Lattice="3.0439 0.0000 0.0000 0.0000 4.8385 0.0000 0.0000 0.0000 5.2664" Properties=species:S:1:pos:R:3 comment="GGA-PBE SrZnW2, optimized geometry" m_tot_mub_per_fu=0.00 dos_at_fermi_per_ev_atom=0.6202 delta_e_f_ev_per_fu=4.0 energy_ev_per_atom=-6.216 pbc="T T T"
Sr 0.0000 0.0000 0.0000
Zn 1.5220 2.4193 0.0000
W 0.0000 2.4193 2.6332
W 1.5220 0.0000 2.6332